## SrTbZnCu (GGA-PBE)

Data for a geometry-optimized SrTbZnCu structure.

## Properties
Its raw total energy is -3.01 eV/atom.

Geometry as POSCAR:
```
SrTbZnCu
1.0
5.188 0.000 0.000
2.594 4.493 0.000
2.594 1.498 4.236
Zn Cu Sr Tb
1 1 1 1
Cartesian
7.782 4.493 3.177
2.594 1.498 1.059
5.188 2.995 2.118
0.000 0.000 0.000
```

---

## Sr2CuTc (GGA-PBE)

Data for a geometry-optimized Sr2CuTc structure.

## Properties
Its raw total energy is -3.61 eV/atom.

Geometry as POSCAR:
```
Sr2CuTc
1.0
5.164 0.000 0.000
2.582 4.472 0.000
2.582 1.491 4.217
Sr Tc Cu
2 1 1
Cartesian
2.582 1.491 1.054
0.000 0.000 0.000
7.746 4.472 3.162
5.164 2.982 2.108
```

---

## Sr2CuTc (GGA-PBE)

Data for a geometry-optimized Sr2CuTc structure.

## Properties
Its raw total energy is -3.62 eV/atom.

Geometry as POSCAR:
```
Sr2CuTc
1.0
-0.392 2.284 3.118
-1.169 -0.827 3.611
8.383 -1.545 3.466
Cu Sr Tc
1 2 1
Cartesian
1.705 -0.022 2.549
8.343 -1.535 3.464
3.450 -0.053 5.099
5.116 -0.066 7.646
```

---

Computed values of energy relative to the elements (unit: kJ/mol of atoms) for the preceding records, in sequence: -9.06; 81.49; 81.11.